Entry from Alexandria via LeMat-Bulk: a relaxed structure of PmBeS2O8 (PBE).

Total magnetization, μB per cell: 0.43
Raw formation energy, eV/atom: -1.67

Lattice parameters (Å, degrees): 5.083 5.083 6.416 90.00 90.00 120.00
Each line ends with the local moment (μB).
Element x y z (fractional)
O1 0.667 0.333 0.470  0.00
O2 0.162 0.323 0.816  0.02
O3 0.838 0.677 0.184  0.02
O4 0.677 0.838 0.816  0.02
O5 0.162 0.838 0.816  0.02
O6 0.323 0.162 0.184  0.02
O7 0.838 0.162 0.184  0.02
O8 0.333 0.667 0.530  0.00
S1 0.667 0.333 0.234  0.06
S2 0.333 0.667 0.766  0.06
Be1 0.000 0.000 0.000  0.01
Pm1 0.000 0.000 0.500  0.06

=====

Entry from Alexandria via LeMat-Bulk: a relaxed structure of NpFeH3 (PBE).

Electronic total energy, eV for the cell shown: -31.98
Total magnetization, μB per cell: 3.11

Lattice parameters (Å, degrees): 3.526 3.526 3.526 90.00 90.00 90.00
Each line ends with the local moment (μB).
Element x y z (fractional)
H1 0.500 0.000 0.000  -0.01
H2 0.000 0.500 0.000  -0.01
H3 0.000 0.000 0.500  -0.01
Np1 0.500 0.500 0.500  4.05
Fe1 0.000 0.000 0.000  -1.28

=====

Entry from Alexandria via LeMat-Bulk: a relaxed structure of BaMgGaGe2 (PBE).

Electronic total energy, eV for the cell shown: -17.87
Total magnetization, μB per cell: 0.00

Lattice parameters (Å, degrees): 4.531 4.531 6.765 109.57 109.57 90.00
Element x y z (fractional)
Ge1 0.617 0.617 0.234
Ge2 0.383 0.383 0.766
Mg1 0.750 0.250 0.500
Ba1 0.000 0.000 0.000
Ga1 0.250 0.750 0.500

=====

Entry from Alexandria via LeMat-Bulk: a relaxed structure of Sm7Zn2Sn2 (PBE).

Electronic total energy, eV for the cell shown: -45.15
Total magnetization, μB per cell: 0.00

Lattice parameters (Å, degrees): 6.987 7.333 6.987 90.00 109.28 90.00
Element x y z (fractional)
Sm1 0.000 0.277 0.500
Sm2 0.500 0.723 0.000
Sm3 0.500 0.240 0.500
Sm4 0.500 0.277 0.000
Sm5 0.500 0.760 0.500
Sm6 0.000 0.723 0.500
Sm7 0.000 0.000 0.000
Sn1 0.179 0.500 0.179
Sn2 0.821 0.500 0.821
Zn1 0.285 0.000 0.715
Zn2 0.715 0.000 0.285

=====

Entry from Alexandria via LeMat-Bulk: a relaxed structure of Y2PuMgN4 (PBE).

Total magnetization, μB per cell: 3.99
Raw formation energy, eV/atom: -1.30

Lattice parameters (Å, degrees): 3.462 5.790 5.852 107.95 90.00 90.00
Each line ends with the local moment (μB).
Element x y z (fractional)
N1 0.500 0.736 0.761  -0.11
N2 0.000 0.252 0.756  -0.11
N3 0.500 0.264 0.239  -0.11
N4 0.000 0.748 0.244  -0.11
Y1 0.500 0.000 0.500  0.07
Y2 0.000 0.500 0.500  0.07
Mg1 0.000 0.000 0.000  0.00
Pu1 0.500 0.500 0.000  4.14

=====

Entry from Alexandria via LeMat-Bulk: a relaxed structure of Th2Ga3Ir4Rh (PBE).

Electronic total energy, eV for the cell shown: -73.39
Total magnetization, μB per cell: 0.00

Lattice parameters (Å, degrees): 4.184 4.184 10.735 90.00 90.00 90.00
Element x y z (fractional)
Ga1 0.000 0.000 0.500
Ga2 0.500 0.000 0.874
Ga3 0.000 0.500 0.126
Ir1 0.000 0.500 0.354
Ir2 0.500 0.000 0.646
Ir3 0.000 0.000 0.000
Ir4 0.500 0.500 0.000
Th1 0.500 0.000 0.243
Th2 0.000 0.500 0.757
Rh1 0.500 0.500 0.500

=====

Entry from Alexandria via LeMat-Bulk: a relaxed structure of Tb6AgRh2 (PBE).

Electronic total energy, eV for the cell shown: -99.56
Total magnetization, μB per cell: 0.00

Lattice parameters (Å, degrees): 8.469 8.469 8.469 104.61 110.75 113.17
Element x y z (fractional)
Tb1 0.694 0.022 0.328
Tb2 0.804 0.764 0.568
Tb3 0.104 0.284 0.821
Tb4 0.694 0.366 0.672
Tb5 0.196 0.236 0.432
Tb6 0.306 0.634 0.328
Tb7 0.896 0.716 0.179
Tb8 0.804 0.236 0.039
Tb9 0.306 0.978 0.672
Tb10 0.463 0.284 0.179
Tb11 0.196 0.764 0.961
Tb12 0.537 0.716 0.821
Rh1 0.665 0.000 0.665
Rh2 0.500 0.369 0.869
Rh3 0.500 0.631 0.131
Rh4 0.335 0.000 0.335
Ag1 0.000 0.500 0.500
Ag2 0.000 0.000 0.000

=====

Entry from Alexandria via LeMat-Bulk: a relaxed structure of SrBiRu2O8 (PBE).

Total magnetization, μB per cell: 3.02
Raw formation energy, eV/atom: -1.16

Lattice parameters (Å, degrees): 5.908 5.908 7.426 90.00 90.00 120.00
Each line ends with the local moment (μB).
Element x y z (fractional)
O1 0.333 0.667 0.033  0.23
O2 0.839 0.677 0.276  0.10
O3 0.838 0.161 0.276  0.10
O4 0.323 0.162 0.276  0.10
O5 0.667 0.333 0.967  0.23
O6 0.162 0.839 0.724  0.10
O7 0.677 0.838 0.724  0.10
O8 0.161 0.323 0.724  0.10
Ru1 0.333 0.667 0.794  0.83
Ru2 0.667 0.333 0.206  0.83
Sr1 0.000 0.000 0.000  0.01
Bi1 0.000 0.000 0.500  0.00

=====

Entry from Alexandria via LeMat-Bulk: a relaxed structure of Os2PbBr2 (PBE).

Offset from the most stable computed form, eV/f.u.: 0.681
Total magnetization, μB per cell: 0.00
Raw formation energy, eV/atom: 1.14

Lattice parameters (Å, degrees): 8.516 8.516 3.126 90.00 90.00 90.00
Element x y z (fractional)
Br1 0.764 0.264 0.500
Br2 0.236 0.736 0.500
Br3 0.736 0.764 0.500
Br4 0.264 0.236 0.500
Pb1 0.500 0.500 0.000
Pb2 0.000 0.000 0.000
Os1 0.596 0.096 0.000
Os2 0.404 0.904 0.000
Os3 0.904 0.596 0.000
Os4 0.096 0.404 0.000

=====

Entry from Alexandria via LeMat-Bulk: a relaxed structure of MgAl3Pt (PBE).

Offset from the most stable computed form, eV/f.u.: 0.070
Total magnetization, μB per cell: 0.00

Lattice parameters (Å, degrees): 3.934 8.283 11.051 90.00 90.00 90.00
Element x y z (fractional)
Pt1 0.750 0.352 0.131
Pt2 0.250 0.148 0.631
Pt3 0.250 0.648 0.869
Pt4 0.750 0.852 0.369
Al1 0.250 0.930 0.789
Al2 0.750 0.952 0.586
Al3 0.250 0.048 0.414
Al4 0.250 0.430 0.711
Al5 0.750 0.070 0.211
Al6 0.250 0.548 0.086
Al7 0.750 0.570 0.289
Al8 0.750 0.674 0.713
Al9 0.250 0.826 0.213
Al10 0.750 0.452 0.914
Al11 0.750 0.174 0.787
Al12 0.250 0.326 0.287
Mg1 0.750 0.838 0.983
Mg2 0.750 0.338 0.517
Mg3 0.250 0.662 0.483
Mg4 0.250 0.162 0.017

=====

Entry from Alexandria via LeMat-Bulk: a relaxed structure of AcLuPd (PBE).

Offset from the most stable computed form, eV/f.u.: 0.000
Total magnetization, μB per cell: 0.00

Lattice parameters (Å, degrees): 3.667 3.667 6.865 105.49 105.49 90.00
Element x y z (fractional)
Ac1 0.019 0.019 0.038
Lu1 0.292 0.292 0.585
Pd1 0.689 0.689 0.378

=====

Entry from Alexandria via LeMat-Bulk: a relaxed structure of PmRuRh (PBE).

Offset from the most stable computed form, eV/f.u.: 0.612
Total magnetization, μB per cell: 0.00

Lattice parameters (Å, degrees): 4.197 6.952 6.952 120.00 90.00 90.00
Element x y z (fractional)
Ru1 0.500 0.231 0.231
Ru2 0.500 0.769 0.000
Ru3 0.500 0.000 0.769
Pm1 0.000 0.408 0.000
Pm2 0.000 0.000 0.408
Pm3 0.000 0.592 0.592
Rh1 0.500 0.333 0.667
Rh2 0.500 0.667 0.333
Rh3 0.000 0.000 0.000

=====

Entry from Alexandria via LeMat-Bulk: a relaxed structure of CsPd3Ru (PBE).

Offset from the most stable computed form, eV/f.u.: 6.561
Total magnetization, μB per cell: 2.69

Lattice parameters (Å, degrees): 5.161 5.161 5.161 90.00 90.00 90.00
Each line ends with the local moment (μB).
Element x y z (fractional)
Pd1 0.000 0.000 0.500  0.01
Pd2 0.500 0.000 0.000  0.07
Pd3 0.000 0.500 0.000  0.03
Cs1 0.000 0.000 0.000  0.00
Ru1 0.500 0.500 0.500  2.48

=====

Entry from Alexandria via LeMat-Bulk: a relaxed structure of Tb5NdMg (PBE).

Offset from the most stable computed form, eV/f.u.: 0.624
Total magnetization, μB per cell: 0.00

Lattice parameters (Å, degrees): 10.864 6.563 7.099 117.53 139.93 90.00
Element x y z (fractional)
Tb1 0.108 0.500 0.000
Tb2 0.360 0.767 0.000
Tb3 0.835 0.761 0.522
Tb4 0.360 0.233 0.000
Tb5 0.313 0.239 0.478
Mg1 0.831 0.500 0.000
Nd1 0.725 0.000 0.000

=====

Entry from Alexandria via LeMat-Bulk: a relaxed structure of Hf2NbZnC (PBE).

Offset from the most stable computed form, eV/f.u.: 8.235
Total magnetization, μB per cell: 0.00

Lattice parameters (Å, degrees): 5.146 4.127 5.146 90.00 90.00 90.00
Element x y z (fractional)
Hf1 0.000 0.000 0.500
Hf2 0.500 0.000 0.000
Zn1 0.500 0.500 0.500
Nb1 0.000 0.000 0.000
C1 0.000 0.500 0.000

=====

Entry from Alexandria via LeMat-Bulk: a relaxed structure of Er6Tm5Mg2 (PBE).

Electronic total energy, eV for the cell shown: -102.01
Total magnetization, μB per cell: 1.45

Lattice parameters (Å, degrees): 3.503 10.191 22.205 90.00 90.00 90.00
Each line ends with the local moment (μB).
Element x y z (fractional)
Tm1 0.500 0.078 0.249  0.04
Tm2 0.500 0.422 0.749  0.04
Tm3 0.500 0.922 0.751  0.04
Tm4 0.500 0.000 0.500  0.04
Tm5 0.500 0.500 0.000  0.04
Tm6 0.500 0.334 0.494  0.08
Tm7 0.500 0.166 0.994  0.08
Tm8 0.500 0.834 0.006  0.08
Tm9 0.500 0.666 0.506  0.08
Tm10 0.500 0.578 0.251  0.04
Mg1 0.000 0.172 0.762  0.00
Mg2 0.000 0.672 0.738  0.00
Mg3 0.000 0.828 0.238  0.00
Mg4 0.000 0.328 0.262  0.00
Er1 0.000 0.142 0.382  0.07
Er2 0.000 0.521 0.388  0.05
Er3 0.000 0.858 0.618  0.07
Er4 0.500 0.331 0.135  0.02
Er5 0.500 0.831 0.365  0.02
Er6 0.000 0.479 0.612  0.05
Er7 0.500 0.669 0.865  0.02
Er8 0.500 0.169 0.635  0.02
Er9 0.000 0.358 0.882  0.07
Er10 0.000 0.021 0.112  0.05
Er11 0.000 0.642 0.118  0.07
Er12 0.000 0.979 0.888  0.05

=====

Entry from Alexandria via LeMat-Bulk: a relaxed structure of YSnF3 (PBE).

Offset from the most stable computed form, eV/f.u.: 4.991
Total magnetization, μB per cell: 1.82
Raw formation energy, eV/atom: -1.62

Lattice parameters (Å, degrees): 4.676 4.676 4.676 90.00 90.00 90.00
Each line ends with the local moment (μB).
Element x y z (fractional)
F1 0.500 0.000 0.000  0.04
F2 0.000 0.000 0.500  0.04
F3 0.000 0.500 0.000  0.05
Y1 0.500 0.500 0.500  0.81
Sn1 0.000 0.000 0.000  0.07

=====

Entry from Alexandria via LeMat-Bulk: a relaxed structure of HfIrO2 (PBE).

Offset from the most stable computed form, eV/f.u.: 0.000
Total magnetization, μB per cell: 0.00
Raw formation energy, eV/atom: -1.70

Lattice parameters (Å, degrees): 6.066 6.066 6.066 31.62 31.62 31.62
Element x y z (fractional)
O1 0.118 0.118 0.118
O2 0.882 0.882 0.882
Ir1 0.000 0.000 0.000
Hf1 0.500 0.500 0.500

=====

Entry from Alexandria via LeMat-Bulk: a relaxed structure of ErThPa2C4 (PBE).

Electronic total energy, eV for the cell shown: -71.05
Total magnetization, μB per cell: 0.00

Lattice parameters (Å, degrees): 3.656 6.291 6.328 70.29 90.00 90.00
Element x y z (fractional)
C1 0.500 0.773 0.243
C2 0.000 0.226 0.260
C3 0.500 0.227 0.757
C4 0.000 0.774 0.740
Th1 0.500 0.500 0.000
Pa1 0.500 0.000 0.500
Pa2 0.000 0.000 0.000
Er1 0.000 0.500 0.500

=====

Entry from Alexandria via LeMat-Bulk: a relaxed structure of NaLiPtPb (PBE).

Electronic total energy, eV for the cell shown: -14.16
Total magnetization, μB per cell: 0.00

Lattice parameters (Å, degrees): 4.788 4.788 4.788 60.00 60.00 60.00
Element x y z (fractional)
Li1 0.250 0.250 0.250
Na1 0.500 0.500 0.500
Pb1 0.000 0.000 0.000
Pt1 0.750 0.750 0.750

=====

Entry from Alexandria via LeMat-Bulk: a relaxed structure of SrRh2 (PBE).

Electronic total energy, eV for the cell shown: -16.25
Total magnetization, μB per cell: 0.80

Lattice parameters (Å, degrees): 5.844 5.844 5.844 145.05 145.05 50.27
Each line ends with the local moment (μB).
Element x y z (fractional)
Rh1 0.285 0.285 0.000  0.41
Rh2 0.715 0.715 0.000  0.41
Sr1 0.000 0.000 0.000  -0.01

=====

Entry from Alexandria via LeMat-Bulk: a relaxed structure of CaRe3Au (PBE).

Offset from the most stable computed form, eV/f.u.: 3.940
Total magnetization, μB per cell: 0.00

Lattice parameters (Å, degrees): 4.577 4.577 4.577 90.00 90.00 90.00
Element x y z (fractional)
Re1 0.000 0.000 0.500
Re2 0.000 0.500 0.000
Re3 0.500 0.000 0.000
Au1 0.500 0.500 0.500
Ca1 0.000 0.000 0.000

=====

Entry from Alexandria via LeMat-Bulk: a relaxed structure of Pm3Cd2Ge3 (PBE).

Offset from the most stable computed form, eV/f.u.: 0.528
Total magnetization, μB per cell: 0.00

Lattice parameters (Å, degrees): 4.033 4.578 10.961 102.05 100.60 90.00
Element x y z (fractional)
Ge1 0.866 0.866 0.732
Ge2 0.000 0.500 0.000
Ge3 0.134 0.134 0.268
Cd1 0.746 0.246 0.491
Cd2 0.254 0.754 0.509
Pm1 0.374 0.374 0.749
Pm2 0.500 0.000 0.000
Pm3 0.626 0.626 0.251

=====

Entry from Alexandria via LeMat-Bulk: a relaxed structure of MnFe2Co (PBE).

Electronic total energy, eV for the cell shown: -32.99
Total magnetization, μB per cell: 8.47

Lattice parameters (Å, degrees): 4.728 4.728 4.728 145.20 129.75 62.58
Each line ends with the local moment (μB).
Element x y z (fractional)
Fe1 0.003 0.003 0.000  2.30
Fe2 0.497 0.497 0.000  2.30
Co1 0.250 0.750 0.500  1.54
Mn1 0.750 0.250 0.500  2.36